1.
Here is a geometry-optimized SnBAu3 structure from Alexandria via LeMat-Bulk. Energies are from PBE.

Calculated values
Formation energy ... 1.36 eV per atom
D(E_F) ... 1.6 states/eV/cell
Energy above the lowest structure with this stoichiometry ... 5.77 eV per formula unit
V ... 141.0 Å³/cell

a = 5.205 Å, b = 5.205 Å, c = 5.205 Å
α = 90.00°, β = 90.00°, γ = 90.00°
Space group Pm-3m (No. 221)
Unique sites:
Sn1 0.000 0.000 0.000 [1 per cell]
B1 0.500 0.500 0.500 [1 per cell]
Au1 0.000 0.000 0.500 [3 per cell]

---

2.
Here is a geometry-optimized Rb2PHSe4 structure from Alexandria via LeMat-Bulk. Energies are from PBE.

Calculated values
D(E_F) ... 9.8 states/eV/cell
V ... 1043.8 Å³/cell

a = 12.789 Å, b = 11.541 Å, c = 9.473 Å
α = 90.00°, β = 131.71°, γ = 90.00°
Space group C2/c (No. 15)
Unique sites:
Rb1 0.000 0.000 0.000 [4 per cell]
Rb2 0.250 0.250 0.000 [4 per cell]
P1 0.000 0.500 0.000 [4 per cell]
H1 0.250 0.250 0.500 [4 per cell]
Se1 0.023 0.277 0.070 [8 per cell]
Se2 0.217 0.351 0.612 [8 per cell]

---

3.
Here is a geometry-optimized LiTbGa2Pt2 structure from Alexandria via LeMat-Bulk. Energies are from PBE.

Calculated values
Formation energy ... -0.92 eV per atom
D(E_F) ... 3.6 states/eV/cell
V ... 107.5 Å³/cell

a = 4.3764 Å, b = 4.3764 Å, c = 6.4788 Å
α = 90.00°, β = 90.00°, γ = 120.00°
Space group P-3m1 (No. 164)
Unique sites:
Li1 0.0000 0.0000 0.0000 [1 per cell]
Tb1 0.0000 0.0000 0.5000 [1 per cell]
Ga1 0.3333 0.6667 0.8140 [2 per cell]
Pt1 0.3333 0.6667 0.2238 [2 per cell]

---

4.
Here is a geometry-optimized Li2Sc2Ni15 structure from Alexandria via LeMat-Bulk. Energies are from PBE.

Calculated values
Formation energy ... -0.20 eV per atom
D(E_F) ... 65.7 states/eV/cell
V ... 700.0 Å³/cell

a = 8.1935 Å, b = 8.1935 Å, c = 12.0407 Å
α = 90.00°, β = 90.00°, γ = 120.00°
Space group R-3m (No. 166, hexagonal axes)
Unique sites:
Li1 0.0000 0.0000 0.0948 [6 per cell]
Sc1 0.0000 0.0000 0.3463 [6 per cell]
Ni1 0.0000 0.3152 0.0000 [18 per cell]
Ni2 0.0000 0.5000 0.5000 [9 per cell]
Ni3 0.0043 0.5021 0.1589 [18 per cell]

---

5.
Here is a geometry-optimized Ba2WN5 structure from Alexandria via LeMat-Bulk. Energies are from PBE.

Calculated values
Energy relative to the elements, uncorrected ... 0.25 eV per atom
D(E_F) ... 4.2 states/eV/cell
V ... 155.4 Å³/cell

a = 6.237 Å, b = 6.237 Å, c = 3.996 Å
α = 90.00°, β = 90.00°, γ = 90.00°
Space group P4/mmm (No. 123)
Unique sites:
Ba1 0.000 0.500 0.000 [2 per cell]
W1 0.000 0.000 0.500 [1 per cell]
N1 0.000 0.000 0.000 [1 per cell]
N2 0.226 0.226 0.500 [4 per cell]

---

6.
Here is a geometry-optimized NbFeBP2 structure from Alexandria via LeMat-Bulk. Energies are from PBE.

Calculated values
Formation energy ... 1.12 eV per atom
D(E_F) ... 6.7 states/eV/cell
V ... 97.5 Å³/cell

a = 4.783 Å, b = 4.783 Å, c = 4.265 Å
α = 90.00°, β = 90.00°, γ = 90.00°
Space group P4/mmm (No. 123)
Unique sites:
Nb1 0.000 0.000 0.000 [1 per cell]
Fe1 0.500 0.500 0.500 [1 per cell]
B1 0.000 0.000 0.500 [1 per cell]
P1 0.000 0.500 0.000 [2 per cell]

---

7.
Here is a geometry-optimized Sc2InCu structure from Alexandria via LeMat-Bulk. Energies are from PBE.

Calculated values
Formation energy ... -0.25 eV per atom
D(E_F) ... 7.6 states/eV/cell
V ... 163.4 Å³/cell

a = 3.369 Å, b = 4.799 Å, c = 10.104 Å
α = 90.00°, β = 90.00°, γ = 90.00°
Space group Imm2 (No. 44)
Unique sites:
Sc1 0.000 0.000 0.000 [2 per cell]
Sc2 0.000 0.500 0.218 [2 per cell]
In1 0.000 0.000 0.435 [2 per cell]
Cu1 0.000 0.500 0.724 [2 per cell]

---

8.
Here is a geometry-optimized TiTlHg2 structure from Alexandria via LeMat-Bulk. Energies are from PBE.

Calculated values
Formation energy ... 0.38 eV per atom
D(E_F) ... 11.8 states/eV/cell
V ... 305.0 Å³/cell

a = 3.2197 Å, b = 3.2197 Å, c = 33.9762 Å
α = 90.00°, β = 90.00°, γ = 120.00°
Space group R-3m (No. 166, hexagonal axes)
Unique sites:
Ti1 0.0000 0.0000 0.0000 [3 per cell]
Tl1 0.0000 0.0000 0.5000 [3 per cell]
Hg1 0.0000 0.0000 0.0823 [6 per cell]

---

9.
Here is a geometry-optimized Na2PdI4 structure from Alexandria via LeMat-Bulk. Energies are from PBE.

Calculated values
Energy relative to the elements, uncorrected ... -0.69 eV per atom
D(E_F) ... 0.6 states/eV/cell
Energy above the lowest structure with this stoichiometry ... 0.45 eV per formula unit
V ... 507.2 Å³/cell

a = 5.655 Å, b = 5.655 Å, c = 15.862 Å
α = 90.00°, β = 90.00°, γ = 90.00°
Space group I4/mmm (No. 139)
Unique sites:
Na1 0.000 0.000 0.127 [4 per cell]
Pd1 0.000 0.000 0.500 [2 per cell]
I1 0.000 0.000 0.327 [4 per cell]
I2 0.000 0.500 0.000 [4 per cell]

---

10.
Here is a geometry-optimized ThSnSe2N structure from Alexandria via LeMat-Bulk. Energies are from PBE.

Calculated values
Energy relative to the elements, uncorrected ... -1.13 eV per atom
D(E_F) ... 5.8 states/eV/cell
V ... 240.5 Å³/cell

a = 4.059 Å, b = 4.059 Å, c = 14.601 Å
α = 90.00°, β = 90.00°, γ = 90.00°
Space group P4/nmm (No. 129, origin choice 2)
Unique sites:
Th1 0.250 0.250 0.082 [2 per cell]
Sn1 0.250 0.250 0.627 [2 per cell]
Se1 0.250 0.250 0.399 [2 per cell]
Se2 0.250 0.250 0.808 [2 per cell]
N1 0.250 0.750 0.000 [2 per cell]

---

11.
Here is a geometry-optimized Ni2AgBr6 structure from Alexandria via LeMat-Bulk. Energies are from PBE.

Calculated values
Energy relative to the elements, uncorrected ... -0.27 eV per atom
D(E_F) ... 5.8 states/eV/cell
V ... 223.1 Å³/cell

a = 6.4428 Å, b = 6.4428 Å, c = 6.2062 Å
α = 90.00°, β = 90.00°, γ = 120.00°
Space group P-31m (No. 162)
Unique sites:
Ni1 0.3333 0.6667 0.0000 [2 per cell]
Ag1 0.0000 0.0000 0.5000 [1 per cell]
Br1 0.0000 0.3606 0.2280 [6 per cell]

---

12.
Here is a geometry-optimized Ti7Nb4Ga6 structure from Alexandria via LeMat-Bulk. Energies are from PBE.

Calculated values
Formation energy ... -0.10 eV per atom
D(E_F) ... 32.3 states/eV/cell
V ... 581.9 Å³/cell

a = 8.349 Å, b = 8.349 Å, c = 8.349 Å
α = 90.00°, β = 90.00°, γ = 90.00°
Space group Im-3m (No. 229)
Unique sites:
Ti1 0.000 0.000 0.000 [2 per cell]
Ti2 0.000 0.250 0.500 [12 per cell]
Nb1 0.250 0.250 0.250 [8 per cell]
Ga1 0.000 0.000 0.301 [12 per cell]

---

13.
Here is a geometry-optimized CdInSn2Ru structure from Alexandria via LeMat-Bulk. Energies are from PBE.

Calculated values
Formation energy ... 0.09 eV per atom
D(E_F) ... 3.6 states/eV/cell
V ... 137.9 Å³/cell

a = 5.135 Å, b = 5.135 Å, c = 5.231 Å
α = 90.00°, β = 90.00°, γ = 90.00°
Space group P4/mmm (No. 123)
Unique sites:
Cd1 0.000 0.000 0.000 [1 per cell]
In1 0.500 0.500 0.000 [1 per cell]
Sn1 0.000 0.500 0.500 [2 per cell]
Ru1 0.500 0.500 0.500 [1 per cell]

---

Final energy / hartree per atom: -0.101, -0.116, -0.185, -0.207, -0.259, -0.224, -0.188, -0.086, -0.099, -0.238, -0.110, -0.250, -0.151